1.
La2ZrN | PBE-GGA | relaxed

Cell lengths 7.322, 7.322, 8.485 Å; angles 90.00, 90.00, 90.00 degrees
Fractional positions:
La1 0.136 0.250 0.125
La2 0.250 0.636 0.375
La3 0.250 0.864 0.875
La4 0.364 0.250 0.625
La5 0.636 0.750 0.625
La6 0.750 0.136 0.875
La7 0.750 0.364 0.375
La8 0.864 0.750 0.125
Zr1 0.000 0.000 0.500
Zr2 0.000 0.500 0.750
Zr3 0.500 0.000 0.250
Zr4 0.500 0.500 0.000
N1 0.000 0.000 0.000
N2 0.000 0.500 0.250
N3 0.500 0.000 0.750
N4 0.500 0.500 0.500

DFT total energy	-6.7629	eV per atom
total magnetization	4.1	Bohr magnetons per cell

2.
La3ZrN4 | PBE-GGA | relaxed

Cell lengths 5.207, 5.207, 5.207 Å; angles 89.97, 89.97, 89.97 degrees
Fractional positions:
La1 0.167 0.167 0.666
La2 0.167 0.666 0.167
La3 0.666 0.167 0.167
Zr1 0.634 0.634 0.634
N1 0.154 0.154 0.154
N2 0.234 0.668 0.668
N3 0.668 0.234 0.668
N4 0.668 0.668 0.234

DFT total energy	-8.4133	eV per atom
total magnetization	0.0	Bohr magnetons per cell

3.
La3ZrN | PBE-GGA | relaxed

Cell lengths 5.537, 5.537, 5.537 Å; angles 90.00, 90.00, 90.00 degrees
Fractional positions:
La1 0.000 0.000 0.500
La2 0.000 0.500 0.000
La3 0.500 0.000 0.000
Zr1 0.000 0.000 0.000
N1 0.500 0.500 0.500

polymorph energy (0 for the lowest one)	1.715	eV/atom
total magnetization	0.0	Bohr magnetons per cell

4.
La2ZrN | PBE-GGA | relaxed

Cell lengths 3.474, 3.474, 28.639 Å; angles 90.00, 90.00, 120.00 degrees
Fractional positions:
La1 0.000 0.000 0.115
La2 0.000 0.000 0.885
La3 0.333 0.667 0.552
La4 0.333 0.667 0.781
La5 0.667 0.333 0.219
La6 0.667 0.333 0.448
Zr1 0.000 0.000 0.000
Zr2 0.333 0.667 0.667
Zr3 0.667 0.333 0.333
N1 0.000 0.000 0.500
N2 0.333 0.667 0.167
N3 0.667 0.333 0.833

DFT total energy	-7.0230	eV per atom
total magnetization	0.0	Bohr magnetons per cell

5.
LaZr2N4 | PBE-GGA | relaxed

Cell lengths 6.753, 6.753, 6.753 Å; angles 119.96, 119.96, 90.06 degrees
Fractional positions:
La1 0.375 0.625 0.750
La2 0.625 0.375 0.250
Zr1 0.000 0.000 0.000
Zr2 0.000 0.000 0.500
Zr3 0.000 0.500 0.000
Zr4 0.500 0.000 0.500
N1 0.198 0.233 0.965
N2 0.232 0.767 0.465
N3 0.233 0.198 0.465
N4 0.233 0.768 0.035
N5 0.767 0.232 0.965
N6 0.767 0.802 0.535
N7 0.768 0.233 0.535
N8 0.802 0.767 0.035

DFT total energy	-9.1636	eV per atom
total magnetization	0.0	Bohr magnetons per cell

6.
NaLa | PBE-GGA | relaxed

Cell lengths 9.394, 9.394, 9.394 Å; angles 90.00, 90.00, 90.00 degrees
Fractional positions:
Na1 0.000 0.250 0.500
Na2 0.000 0.750 0.500
Na3 0.250 0.500 0.000
Na4 0.500 0.000 0.250
Na5 0.500 0.000 0.750
Na6 0.750 0.500 0.000
La1 0.000 0.500 0.250
La2 0.000 0.500 0.750
La3 0.250 0.000 0.500
La4 0.500 0.250 0.000
La5 0.500 0.750 0.000
La6 0.750 0.000 0.500

polymorph energy (0 for the lowest one)	1.375	eV/atom
energy of formation from the pure elements	1.445	eV per atom
total magnetization	12.3	Bohr magnetons per cell

7.
NaLa2 | PBE-GGA | relaxed

Cell lengths 3.621, 3.621, 17.078 Å; angles 90.00, 90.00, 90.00 degrees
Fractional positions:
Na1 0.000 0.000 0.000
Na2 0.500 0.500 0.500
La1 0.000 0.000 0.327
La2 0.000 0.000 0.673
La3 0.500 0.500 0.173
La4 0.500 0.500 0.827

energy of formation from the pure elements	0.113	eV per atom
total magnetization	0.0	Bohr magnetons per cell

8.
NaLa | PBE-GGA | relaxed

Cell lengths 3.669, 4.893, 8.048 Å; angles 90.00, 90.06, 90.00 degrees
Fractional positions:
Na1 0.248 0.250 0.119
Na2 0.752 0.750 0.881
La1 0.251 0.250 0.607
La2 0.749 0.750 0.393

polymorph energy (0 for the lowest one)	0.103	eV/atom
energy of formation from the pure elements	0.172	eV per atom
total magnetization	0.0	Bohr magnetons per cell